1.
First-principles (PBE) data for a geometry-optimized MnSiNi2H structure, as listed in Alexandria via LeMat-Bulk.

abc: 3.5404 3.5404 3.7571
angles: 90.00 90.00 90.00
Space group P4/mmm (No. 123)
Asymmetric unit:
Mn (0.0000, 0.0000, 0.0000) [1 per cell]
Si (0.5000, 0.5000, 0.0000) [1 per cell]
Ni (0.0000, 0.5000, 0.5000) [2 per cell]
H (0.0000, 0.0000, 0.5000) [1 per cell]

Computed properties:
VASP energy   -6.172 eV/atom
Total magnetization   2.34 μB per formula unit
Calculated volume   9.4 Å³ per atom

=====

2.
First-principles (PBE) data for a geometry-optimized SmMnNi2H8 structure, as listed in Alexandria via LeMat-Bulk.

abc: 4.4724 4.4724 15.9611
angles: 90.00 90.00 120.00
Space group R-3 (No. 148, hexagonal axes)
Asymmetric unit:
Sm (0.0000, 0.0000, 0.0000) [3 per cell]
Mn (0.0000, 0.0000, 0.5000) [3 per cell]
Ni (0.0000, 0.0000, 0.2096) [6 per cell]
H (0.0000, 0.0000, 0.3098) [6 per cell]
H (0.0146, 0.6402, 0.7817) [18 per cell]

Computed properties:
VASP energy   -4.514 eV/atom
Total magnetization   2.84 μB per formula unit
Calculated volume   7.7 Å³ per atom

=====

3.
First-principles (PBE) data for a geometry-optimized MnNi2SnH structure, as listed in Alexandria via LeMat-Bulk.

abc: 3.8024 3.8024 3.8811
angles: 90.00 90.00 90.00
Space group P4/mmm (No. 123)
Asymmetric unit:
Mn (0.0000, 0.0000, 0.0000) [1 per cell]
Ni (0.0000, 0.5000, 0.5000) [2 per cell]
Sn (0.5000, 0.5000, 0.0000) [1 per cell]
H (0.0000, 0.0000, 0.5000) [1 per cell]

Computed properties:
VASP energy   -5.709 eV/atom
Total magnetization   2.73 μB per formula unit
Calculated volume   11.2 Å³ per atom

=====

4.
First-principles (PBE) data for a geometry-optimized TaMn2NiH structure, as listed in Alexandria via LeMat-Bulk.

abc: 3.6853 3.6853 3.9447
angles: 90.00 90.00 90.00
Space group P4/mmm (No. 123)
Asymmetric unit:
Ta (0.0000, 0.0000, 0.0000) [1 per cell]
Mn (0.0000, 0.5000, 0.5000) [2 per cell]
Ni (0.5000, 0.5000, 0.0000) [1 per cell]
H (0.0000, 0.0000, 0.5000) [1 per cell]

Computed properties:
Total magnetization   2.52 μB per formula unit
Calculated volume   10.7 Å³ per atom
Energy above the lowest structure with this stoichiometry   39 meV per atom

=====

5.
First-principles (PBE) data for a geometry-optimized Ta2MnNiH structure, as listed in Alexandria via LeMat-Bulk.

abc: 4.1388 4.1388 3.5126
angles: 90.00 90.00 90.00
Space group P4/mmm (No. 123)
Asymmetric unit:
Ta (0.0000, 0.5000, 0.0000) [2 per cell]
Mn (0.0000, 0.0000, 0.5000) [1 per cell]
Ni (0.5000, 0.5000, 0.5000) [1 per cell]
H (0.0000, 0.0000, 0.0000) [1 per cell]

Computed properties:
Total magnetization   0.11 μB per formula unit
Calculated volume   12.0 Å³ per atom
Energy above the lowest structure with this stoichiometry   15 meV per atom

=====

6.
First-principles (PBE) data for a geometry-optimized TaMn2NiH structure, as listed in Alexandria via LeMat-Bulk.

abc: 3.8069 3.8069 3.6321
angles: 90.00 90.00 90.00
Space group P4/mmm (No. 123)
Asymmetric unit:
Ta (0.0000, 0.0000, 0.0000) [1 per cell]
Mn (0.0000, 0.5000, 0.5000) [2 per cell]
Ni (0.5000, 0.5000, 0.0000) [1 per cell]
H (0.5000, 0.5000, 0.5000) [1 per cell]

Computed properties:
Total magnetization   2.38 μB per formula unit
Calculated volume   10.5 Å³ per atom
Energy above the lowest structure with this stoichiometry   0 meV per atom

=====

7.
First-principles (PBE) data for a geometry-optimized Ta2MnNiH structure, as listed in Alexandria via LeMat-Bulk.

abc: 4.2485 4.2485 3.3316
angles: 90.00 90.00 90.00
Space group P4/mmm (No. 123)
Asymmetric unit:
Ta (0.0000, 0.5000, 0.0000) [2 per cell]
Mn (0.0000, 0.0000, 0.5000) [1 per cell]
Ni (0.5000, 0.5000, 0.5000) [1 per cell]
H (0.5000, 0.5000, 0.0000) [1 per cell]

Computed properties:
Total magnetization   0.00 μB per formula unit
Calculated volume   12.0 Å³ per atom
Energy above the lowest structure with this stoichiometry   0 meV per atom

=====

8.
First-principles (PBE) data for a geometry-optimized ThMnNi2H8 structure, as listed in Alexandria via LeMat-Bulk.

abc: 4.4472 4.4472 16.3599
angles: 90.00 90.00 120.00
Space group R-3 (No. 148, hexagonal axes)
Asymmetric unit:
Th (0.0000, 0.0000, 0.0000) [3 per cell]
Mn (0.0000, 0.0000, 0.5000) [3 per cell]
Ni (0.0000, 0.0000, 0.2182) [6 per cell]
H (0.0000, 0.0000, 0.3167) [6 per cell]
H (0.0027, 0.3690, 0.7793) [18 per cell]

Computed properties:
VASP energy   -4.754 eV/atom
Total magnetization   2.66 μB per formula unit
Calculated volume   7.8 Å³ per atom

=====

9.
First-principles (PBE) data for a geometry-optimized TiMn2NiH structure, as listed in Alexandria via LeMat-Bulk.

abc: 3.6686 3.6686 3.9267
angles: 90.00 90.00 90.00
Space group P4/mmm (No. 123)
Asymmetric unit:
Ti (0.0000, 0.0000, 0.0000) [1 per cell]
Mn (0.0000, 0.5000, 0.5000) [2 per cell]
Ni (0.5000, 0.5000, 0.0000) [1 per cell]
H (0.0000, 0.0000, 0.5000) [1 per cell]

Computed properties:
Total magnetization   4.25 μB per formula unit
Calculated volume   10.6 Å³ per atom
Energy above the lowest structure with this stoichiometry   0 meV per atom

=====

10.
First-principles (PBE) data for a geometry-optimized TiMnNi2H structure, as listed in Alexandria via LeMat-Bulk.

abc: 3.5881 3.5881 3.9743
angles: 90.00 90.00 90.00
Space group P4/mmm (No. 123)
Asymmetric unit:
Ti (0.0000, 0.0000, 0.0000) [1 per cell]
Mn (0.5000, 0.5000, 0.0000) [1 per cell]
Ni (0.0000, 0.5000, 0.5000) [2 per cell]
H (0.0000, 0.0000, 0.5000) [1 per cell]

Computed properties:
Total magnetization   2.09 μB per formula unit
Calculated volume   10.2 Å³ per atom
Energy above the lowest structure with this stoichiometry   22 meV per atom

=====

11.
First-principles (PBE) data for a geometry-optimized TiMnNi2H structure, as listed in Alexandria via LeMat-Bulk.

abc: 3.6116 3.6116 3.8724
angles: 90.00 90.00 90.00
Space group P4/mmm (No. 123)
Asymmetric unit:
Ti (0.0000, 0.0000, 0.0000) [1 per cell]
Mn (0.5000, 0.5000, 0.0000) [1 per cell]
Ni (0.0000, 0.5000, 0.5000) [2 per cell]
H (0.5000, 0.5000, 0.5000) [1 per cell]

Computed properties:
Total magnetization   1.90 μB per formula unit
Calculated volume   10.1 Å³ per atom
Energy above the lowest structure with this stoichiometry   0 meV per atom

=====

12.
First-principles (PBE) data for a geometry-optimized TiMn2NiH structure, as listed in Alexandria via LeMat-Bulk.

abc: 3.8843 3.8843 3.5313
angles: 90.00 90.00 90.00
Space group P4/mmm (No. 123)
Asymmetric unit:
Ti (0.0000, 0.0000, 0.0000) [1 per cell]
Mn (0.0000, 0.5000, 0.5000) [2 per cell]
Ni (0.5000, 0.5000, 0.0000) [1 per cell]
H (0.5000, 0.5000, 0.5000) [1 per cell]

Computed properties:
Total magnetization   4.70 μB per formula unit
Calculated volume   10.7 Å³ per atom
Energy above the lowest structure with this stoichiometry   9 meV per atom